Record 1
Material: Dy4MgZnCd2
Method: DFT, PBE
State: relaxed

Geometry as extended XYZ:
```
8
Lattice="-3.189 1.821 -3.761 -3.724 -3.110 -2.022 -7.796 2.270 4.035" Properties=species:S:1:pos:R:3 pbc="T T T"
Cd -3.581 0.198 -0.542
Cd -11.128 0.783 -1.206
Dy -9.321 1.457 1.261
Dy -5.388 -0.476 -3.009
Dy -9.049 -0.239 -3.463
Dy -5.659 1.219 1.715
Mg 0.000 0.000 0.000
Zn -7.354 0.490 -0.874
```

Properties
Crystal system ... trigonal
DFT total energy ... -3.15 eV per atom
Theoretical density ... 7.834 g/cm³
Energy of formation from the pure elements ... -0.26 eV/atom
Size of the total moment ... 0.001 μB per formula unit


Record 2
Material: LiTePt2
Method: DFT, PBE
State: relaxed

Geometry as extended XYZ:
```
4
Lattice="-0.466 2.927 2.970 -0.610 -2.116 1.990 5.182 -1.429 2.220" Properties=species:S:1:pos:R:3 pbc="T T T"
Li 3.373 -1.069 4.546
Pt 5.077 -1.557 2.331
Pt 0.659 0.179 2.890
Te 2.465 -1.372 1.739
```

Properties
Crystal system ... monoclinic
DFT total energy ... -4.55 eV per atom
Theoretical density ... 12.417 g/cm³
ΔE_f (raw) ... -0.27 eV/atom
Size of the total moment ... 0.000 μB per formula unit


Question: The highest DFT total energy belongs to which entry?
Answer: Dy4MgZnCd2